Entry 1:
Density functional theory data (PBE) for a relaxed structure of PmSm3Y3.

```
PmSm3Y3
1.0
8.267 0.000 0.000
-2.756 5.769 0.000
-2.756 -2.885 4.996
Sm Y Pm
3 3 1
Direct
0.973 0.000 0.357
0.617 0.643 0.643
0.973 0.357 0.000
0.416 0.400 0.000
0.416 0.000 0.400
0.016 0.600 0.600
0.564 0.000 0.000
```

Calculated density (g/cm³): 6.012
Symmetry: No. 160
Energy (eV per atom): -5.25
Energy relative to the lowest polymorph listed for this composition (kJ/mol of atoms): 6.9
Density of states at the Fermi level (states/eV/cell): 11.078

***

Entry 2:
Density functional theory data (PBE) for a relaxed structure of Cd2CuHg.

```
Cd2CuHg
1.0
5.065 0.030 0.086
3.993 3.116 0.086
1.083 0.376 5.166
Cu Cd Hg
1 2 1
Direct
0.750 0.750 0.750
0.483 0.483 0.524
0.017 0.017 0.976
0.250 0.250 0.250
```

Calculated density (g/cm³): 10.074
Symmetry: No. 12
Energy (eV per atom): -1.43
Density of states at the Fermi level (states/eV/cell): 0.936

***

Entry 3:
Density functional theory data (PBE) for a relaxed structure of Ce2BeSi4Ni3.

```
Ce2BeSi4Ni3
1.0
4.000 0.000 0.000
0.000 4.000 0.000
0.000 0.000 9.529
Si Ce Ni Be
4 2 3 1
Direct
0.500 0.500 0.000
0.000 0.000 0.000
0.500 0.000 0.630
0.000 0.500 0.370
0.500 0.000 0.252
0.000 0.500 0.748
0.000 0.500 0.125
0.000 0.000 0.500
0.500 0.000 0.875
0.500 0.500 0.500
```

Calculated density (g/cm³): 6.291
Symmetry: No. 115
Energy (eV per atom): -6.22
E_form (uncorrected) (meV/atom): -756
Density of states at the Fermi level (states/eV/cell): 5.419

***

Entry 4:
Density functional theory data (PBE) for a relaxed structure of TbDy2Ni2.

```
TbDy2Ni2
1.0
3.770 0.000 0.000
0.000 5.525 0.080
-1.885 -1.505 5.502
Ni Tb Dy
2 1 2
Direct
0.287 0.887 0.575
0.713 0.113 0.425
0.000 0.000 0.000
0.648 0.591 0.297
0.352 0.409 0.703
```

Calculated density (g/cm³): 8.678
Symmetry: No. 12
Energy (eV per atom): -5.31
Energy relative to the lowest polymorph listed for this composition (kJ/mol of atoms): 8.6
Density of states at the Fermi level (states/eV/cell): 6.193

***

Entry 5:
Density functional theory data (PBE) for a relaxed structure of CdPb3Br8.

```
CdPb3Br8
1.0
8.934 0.000 0.000
-4.467 7.737 0.000
0.000 0.000 13.089
Br Pb Cd
16 6 2
Direct
0.178 0.357 0.593
0.962 0.481 0.851
0.481 0.962 0.351
0.481 0.519 0.351
0.333 0.667 0.079
0.519 0.481 0.851
0.643 0.822 0.593
0.357 0.178 0.093
0.667 0.333 0.579
0.822 0.178 0.093
0.519 0.038 0.851
0.000 0.000 0.833
0.038 0.519 0.351
0.178 0.822 0.593
0.822 0.643 0.093
0.000 0.000 0.333
0.830 0.170 0.710
0.830 0.661 0.710
0.170 0.339 0.210
0.339 0.170 0.710
0.661 0.830 0.210
0.170 0.830 0.210
0.667 0.333 0.981
0.333 0.667 0.481
```

Calculated density (g/cm³): 5.041
Symmetry: No. 186
Energy (eV per atom): -3.00
E_form (uncorrected) (meV/atom): -885
Density of states at the Fermi level (states/eV/cell): 0.000

***

Entry 6:
Density functional theory data (PBE) for a relaxed structure of Th4C2SeS.

```
Th4C2SeS
1.0
-2.804 2.548 0.757
-1.068 -3.082 6.419
3.979 3.054 4.456
C Th S Se
2 4 1 1
Direct
0.000 0.000 0.000
0.500 0.000 0.500
0.500 0.794 0.239
0.000 0.796 0.731
0.000 0.204 0.269
0.500 0.206 0.761
0.000 0.500 0.500
0.500 0.500 0.000
```

Calculated density (g/cm³): 9.947
Symmetry: No. 10
Energy (eV per atom): -8.10
E_form (uncorrected) (meV/atom): -1134
Density of states at the Fermi level (states/eV/cell): 2.455